Entry 1:
SiSeS2N: relaxed, GGA-PBEsol.

energy relative to the elements, uncorrected	1.56	eV/f.u.
M_tot	0.00	μB/f.u.

Unit cell a=3.327 b=4.699 c=4.699 alpha=90.00 beta=90.00 gamma=90.00
Sites, in units of the cell vectors:
Se 0.500 0.500 0.500
N 0.500 0.000 0.000
S 0.000 0.500 0.000
S 0.000 0.000 0.500
Si 0.000 0.000 0.000



Entry 2:
CrAu3: relaxed, GGA-PBEsol.

calculated formation energy	104	meV/atom
M_tot	4.47	μB/f.u.

Unit cell a=4.038 b=4.038 c=4.038 alpha=90.00 beta=90.00 gamma=90.00
Sites, in units of the cell vectors:
Au 0.000 0.000 0.500
Au 0.500 0.000 0.000
Au 0.000 0.500 0.000
Cr 0.500 0.500 0.500



Entry 3:
Fe2AgCl: relaxed, GGA-PBEsol.

E above lowest polymorph	0.00	eV/f.u.
energy relative to the elements, uncorrected	1.49	eV/f.u.
M_tot	5.80	μB/f.u.

Unit cell a=2.837 b=2.837 c=8.227 alpha=80.07 beta=80.07 gamma=60.00
Sites, in units of the cell vectors:
Cl 0.000 0.000 0.000
Ag 0.500 0.500 0.500
Fe 0.257 0.257 0.230
Fe 0.743 0.743 0.770



Entry 4:
LiMoP2O7: relaxed, GGA-PBEsol.

E above lowest polymorph	0.07	eV/f.u.
energy relative to the elements, uncorrected	-22.73	eV/f.u.
M_tot	3.00	μB/f.u.

Unit cell a=7.015 b=8.437 c=9.864 alpha=90.00 beta=111.27 gamma=90.00
Sites, in units of the cell vectors:
P 0.291 0.320 0.058
P 0.115 0.712 0.442
P 0.115 0.788 0.942
P 0.709 0.820 0.442
P 0.291 0.180 0.558
P 0.885 0.288 0.558
P 0.885 0.212 0.058
P 0.709 0.680 0.942
O 0.600 0.961 0.346
O 0.768 0.302 0.137
O 0.255 0.817 0.100
O 0.232 0.698 0.863
O 0.400 0.461 0.154
O 0.022 0.561 0.362
O 0.978 0.439 0.638
O 0.768 0.198 0.637
O 0.022 0.939 0.862
O 0.060 0.334 0.055
O 0.978 0.061 0.138
O 0.745 0.317 0.400
O 0.713 0.671 0.096
O 0.745 0.183 0.900
O 0.940 0.666 0.945
O 0.376 0.339 0.631
O 0.940 0.834 0.445
O 0.255 0.683 0.600
O 0.376 0.161 0.131
O 0.232 0.802 0.363
O 0.624 0.839 0.869
O 0.287 0.171 0.404
O 0.600 0.539 0.846
O 0.713 0.829 0.596
O 0.624 0.661 0.369
O 0.400 0.039 0.654
O 0.060 0.166 0.555
O 0.287 0.329 0.904
Mo 0.721 0.498 0.249
Mo 0.721 0.002 0.749
Mo 0.279 0.502 0.751
Mo 0.279 0.998 0.251
Li 0.670 0.144 0.255
Li 0.330 0.644 0.245
Li 0.670 0.356 0.755
Li 0.330 0.856 0.745



Entry 5:
Zn2HIr2: relaxed, GGA-PBEsol.

E above lowest polymorph	4.16	eV/f.u.
M_tot	0.00	μB/f.u.

Unit cell a=3.518 b=3.518 c=6.834 alpha=104.92 beta=104.92 gamma=90.00
Sites, in units of the cell vectors:
H 0.000 0.000 0.000
Zn 0.593 0.593 0.186
Zn 0.407 0.407 0.814
Ir 0.250 0.750 0.500
Ir 0.750 0.250 0.500



Entry 6:
GePN3: relaxed, GGA-PBEsol.

energy relative to the elements, uncorrected	3.59	eV/f.u.
M_tot	0.00	μB/f.u.

Unit cell a=3.541 b=3.541 c=3.541 alpha=90.00 beta=90.00 gamma=90.00
Sites, in units of the cell vectors:
N 0.000 0.000 0.500
N 0.000 0.500 0.000
N 0.500 0.000 0.000
Ge 0.500 0.500 0.500
P 0.000 0.000 0.000



Repeat the sixth record exactly.
GePN3: relaxed, GGA-PBEsol.

energy relative to the elements, uncorrected	3.59	eV/f.u.
M_tot	0.00	μB/f.u.

Unit cell a=3.541 b=3.541 c=3.541 alpha=90.00 beta=90.00 gamma=90.00
Sites, in units of the cell vectors:
N 0.000 0.000 0.500
N 0.000 0.500 0.000
N 0.500 0.000 0.000
Ge 0.500 0.500 0.500
P 0.000 0.000 0.000